Density functional theory data (GGA-PBE) for an optimized crystal structure of CaAs2Ir.

- Crystal system: cubic
- Total DFT energy (no corrections): -5.32 eV per atom
- Magnetization: 0.00 μB/cell
- Space-group type: Fm-3m
- Energy of formation: -0.282 eV/atom

Cell lengths 6.6472, 6.6472, 6.6472 Å; angles 90.00, 90.00, 90.00 degrees
Atoms (fractional coordinates):
Ca 0.0000 0.0000 0.0000
Ca 0.0000 0.5000 0.5000
Ca 0.5000 0.0000 0.5000
Ca 0.5000 0.5000 0.0000
As 0.2500 0.2500 0.2500
As 0.2500 0.2500 0.7500
As 0.2500 0.7500 0.2500
As 0.2500 0.7500 0.7500
As 0.7500 0.2500 0.2500
As 0.7500 0.2500 0.7500
As 0.7500 0.7500 0.2500
As 0.7500 0.7500 0.7500
Ir 0.0000 0.0000 0.5000
Ir 0.0000 0.5000 0.0000
Ir 0.5000 0.0000 0.0000
Ir 0.5000 0.5000 0.5000


Density functional theory data (GGA-PBE) for an optimized crystal structure of Ba2AlPtI.

- Crystal system: tetragonal
- Total DFT energy (no corrections): -3.94 eV per atom
- Magnetization: 0.00 μB/cell
- Space-group type: P4/mmm

Cell lengths 6.3321, 6.3321, 4.7661 Å; angles 90.00, 90.00, 90.00 degrees
Atoms (fractional coordinates):
Ba 0.0000 0.5000 0.0000
Ba 0.5000 0.0000 0.0000
Al 0.0000 0.0000 0.5000
Pt 0.0000 0.0000 0.0000
I 0.5000 0.5000 0.5000


Density functional theory data (GGA-PBE) for an optimized crystal structure of LuCd2.

- Crystal system: cubic
- Total DFT energy (no corrections): -2.31 eV per atom
- Magnetization: 0.00 μB/cell
- Space-group type: Fd-3m
- Energy of formation: -0.193 eV/atom

Cell lengths 5.8465, 5.8465, 5.8465 Å; angles 60.00, 60.00, 60.00 degrees
Atoms (fractional coordinates):
Lu 0.1250 0.1250 0.1250
Lu 0.8750 0.8750 0.8750
Cd 0.0000 0.5000 0.5000
Cd 0.5000 0.0000 0.5000
Cd 0.5000 0.5000 0.0000
Cd 0.5000 0.5000 0.5000


Density functional theory data (GGA-PBE) for an optimized crystal structure of CeCuGe2Pt5.

- Crystal system: tetragonal
- Total DFT energy (no corrections): -5.97 eV per atom
- Magnetization: 0.32 μB/cell
- Space-group type: P4/mmm
- Energy of formation: -0.471 eV/atom

Cell lengths 4.1611, 4.1611, 9.3085 Å; angles 90.00, 90.00, 90.00 degrees
Atoms (fractional coordinates):
Ce 0.0000 0.0000 0.0000
Cu 0.0000 0.0000 0.5000
Ge 0.5000 0.5000 0.3736
Ge 0.5000 0.5000 0.6264
Pt 0.0000 0.5000 0.2299
Pt 0.0000 0.5000 0.7701
Pt 0.5000 0.0000 0.2299
Pt 0.5000 0.0000 0.7701
Pt 0.5000 0.5000 0.0000


Density functional theory data (GGA-PBE) for an optimized crystal structure of Ta2Pd3Au2.

- Crystal system: cubic
- Total DFT energy (no corrections): -6.42 eV per atom
- Magnetization: 0.00 μB/cell
- E above lowest polymorph: 190 kJ/mol of formula units
- Space-group type: I2_13
- Energy of formation: 0.131 eV/atom

Cell lengths 6.8849, 6.8849, 6.8849 Å; angles 109.47, 109.47, 109.47 degrees
Atoms (fractional coordinates):
Ta 0.0000 0.1137 0.5000
Ta 0.1137 0.5000 0.0000
Ta 0.3863 0.3863 0.3863
Ta 0.5000 0.0000 0.1137
Pd 0.1723 0.9223 0.2500
Pd 0.2500 0.1723 0.9223
Pd 0.3277 0.5777 0.7500
Pd 0.5777 0.7500 0.3277
Pd 0.7500 0.3277 0.5777
Pd 0.9223 0.2500 0.1723
Au 0.0000 0.6962 0.5000
Au 0.5000 0.0000 0.6962
Au 0.6962 0.5000 0.0000
Au 0.8038 0.8038 0.8038


Density functional theory data (GGA-PBE) for an optimized crystal structure of Tb2NdEr4Th.

- Crystal system: monoclinic
- Total DFT energy (no corrections): -4.93 eV per atom
- Magnetization: 0.00 μB/cell
- Space-group type: P2/m
- Energy of formation: 0.029 eV/atom

Cell lengths 5.0484, 5.0631, 9.9281 Å; angles 90.00, 90.05, 90.00 degrees
Atoms (fractional coordinates):
Tb 0.0000 0.0000 0.0000
Tb 0.5000 0.5000 0.5000
Nd 0.0000 0.0000 0.5000
Er 0.0001 0.5000 0.2458
Er 0.9999 0.5000 0.7542
Er 0.5003 0.0000 0.2455
Er 0.4997 0.0000 0.7545
Th 0.5000 0.5000 0.0000


Density functional theory data (GGA-PBE) for an optimized crystal structure of TlNiS4.

- Crystal system: triclinic
- Total DFT energy (no corrections): -4.24 eV per atom
- Magnetization: 0.00 μB/cell
- Space-group type: P-1

Cell lengths 6.7753, 7.2044, 7.8716 Å; angles 63.41, 75.39, 63.93 degrees
Atoms (fractional coordinates):
Tl 0.0836 0.1879 0.1661
Tl 0.9164 0.8121 0.8339
Ni 0.4928 0.7891 0.7124
Ni 0.5072 0.2109 0.2876
S 0.2607 0.5601 0.1916
S 0.3178 0.7707 0.5065
S 0.3493 0.8080 0.9838
S 0.3970 0.1678 0.5952
S 0.6030 0.8322 0.4048
S 0.6507 0.1920 0.0162
S 0.6822 0.2293 0.4935
S 0.7393 0.4399 0.8084


Density functional theory data (GGA-PBE) for an optimized crystal structure of Cs12K6Pt.

- Crystal system: trigonal
- Total DFT energy (no corrections): -1.15 eV per atom
- Magnetization: 0.00 μB/cell
- Space-group type: R-3
- Energy of formation: 0.050 eV/atom

Cell lengths 12.6919, 12.6919, 12.6919 Å; angles 101.14, 101.14, 101.14 degrees
Atoms (fractional coordinates):
Cs 0.1559 0.8286 0.2642
Cs 0.1714 0.7358 0.8441
Cs 0.2282 0.5050 0.4458
Cs 0.2642 0.1559 0.8286
Cs 0.4458 0.2282 0.5050
Cs 0.4950 0.5542 0.7718
Cs 0.5050 0.4458 0.2282
Cs 0.5542 0.7718 0.4950
Cs 0.7358 0.8441 0.1714
Cs 0.7718 0.4950 0.5542
Cs 0.8286 0.2642 0.1559
Cs 0.8441 0.1714 0.7358
K 0.0341 0.1588 0.4533
K 0.1588 0.4533 0.0341
K 0.4533 0.0341 0.1588
K 0.5467 0.9659 0.8412
K 0.8412 0.5467 0.9659
K 0.9659 0.8412 0.5467
Pt 0.5000 0.5000 0.5000


Density functional theory data (GGA-PBE) for an optimized crystal structure of V2TcMo.

- Crystal system: tetragonal
- Total DFT energy (no corrections): -10.13 eV per atom
- Magnetization: 0.00 μB/cell
- E above lowest polymorph: 0 kJ/mol of formula units
- Space-group type: P4/mmm
- Energy of formation: -0.268 eV/atom

Cell lengths 4.3175, 4.3175, 3.0437 Å; angles 90.00, 90.00, 90.00 degrees
Atoms (fractional coordinates):
V 0.0000 0.5000 0.0000
V 0.5000 0.0000 0.0000
Tc 0.0000 0.0000 0.5000
Mo 0.5000 0.5000 0.5000


Density functional theory data (GGA-PBE) for an optimized crystal structure of SnPPt.

- Crystal system: monoclinic
- Total DFT energy (no corrections): -5.66 eV per atom
- Magnetization: 0.00 μB/cell
- E above lowest polymorph: 0 kJ/mol of formula units
- Space-group type: P2_1/c
- Energy of formation: -0.507 eV/atom

Cell lengths 6.3695, 6.3423, 6.3876 Å; angles 90.00, 113.44, 90.00 degrees
Atoms (fractional coordinates):
Sn 0.1572 0.1276 0.3583
Sn 0.1572 0.3724 0.8583
Sn 0.8428 0.6276 0.1417
Sn 0.8428 0.8724 0.6417
P 0.3466 0.6333 0.6738
P 0.3466 0.8667 0.1738
P 0.6534 0.1333 0.8262
P 0.6534 0.3667 0.3262
Pt 0.2953 0.5188 0.2961
Pt 0.2953 0.9812 0.7961
Pt 0.7047 0.0188 0.2039
Pt 0.7047 0.4812 0.7039


Density functional theory data (GGA-PBE) for an optimized crystal structure of Ba3Tl3Rh2.

- Crystal system: orthorhombic
- Total DFT energy (no corrections): -3.75 eV per atom
- Magnetization: 0.00 μB/cell
- Space-group type: Cmcm
- Energy of formation: -0.302 eV/atom

Cell lengths 6.6164, 6.6164, 17.7481 Å; angles 90.00, 90.00, 139.86 degrees
Atoms (fractional coordinates):
Ba 0.0633 0.9367 0.6031
Ba 0.0633 0.9367 0.8969
Ba 0.3488 0.6512 0.7500
Ba 0.6512 0.3488 0.2500
Ba 0.9367 0.0633 0.1031
Ba 0.9367 0.0633 0.3969
Tl 0.3405 0.6595 0.5393
Tl 0.3405 0.6595 0.9607
Tl 0.3589 0.6411 0.2500
Tl 0.6411 0.3589 0.7500
Tl 0.6595 0.3405 0.0393
Tl 0.6595 0.3405 0.4607
Rh 0.2391 0.7609 0.1140
Rh 0.2391 0.7609 0.3860
Rh 0.7609 0.2391 0.6140
Rh 0.7609 0.2391 0.8860


Density functional theory data (GGA-PBE) for an optimized crystal structure of Ir4Cl.

- Crystal system: cubic
- Total DFT energy (no corrections): -5.96 eV per atom
- Magnetization: 0.00 μB/cell
- E above lowest polymorph: 0 kJ/mol of formula units
- Space-group type: Im-3m

Cell lengths 5.4963, 5.4963, 5.4963 Å; angles 90.00, 90.00, 90.00 degrees
Atoms (fractional coordinates):
Ir 0.2500 0.2500 0.2500
Ir 0.2500 0.2500 0.7500
Ir 0.2500 0.7500 0.2500
Ir 0.2500 0.7500 0.7500
Ir 0.7500 0.2500 0.2500
Ir 0.7500 0.2500 0.7500
Ir 0.7500 0.7500 0.2500
Ir 0.7500 0.7500 0.7500
Cl 0.0000 0.0000 0.0000
Cl 0.5000 0.5000 0.5000


Density functional theory data (GGA-PBE) for an optimized crystal structure of Li3BPt.

- Crystal system: cubic
- Total DFT energy (no corrections): -2.89 eV per atom
- Magnetization: 0.00 μB/cell
- E above lowest polymorph: 139 kJ/mol of formula units
- Space-group type: Pm-3m
- Energy of formation: 0.804 eV/atom

Cell lengths 4.6386, 4.6386, 4.6386 Å; angles 90.00, 90.00, 90.00 degrees
Atoms (fractional coordinates):
Li 0.0000 0.0000 0.5000
Li 0.0000 0.5000 0.0000
Li 0.5000 0.0000 0.0000
B 0.5000 0.5000 0.5000
Pt 0.0000 0.0000 0.0000


Density functional theory data (GGA-PBE) for an optimized crystal structure of Al2PdPt7.

- Crystal system: orthorhombic
- Total DFT energy (no corrections): -5.52 eV per atom
- Magnetization: 0.00 μB/cell
- Space-group type: Cmmm
- Energy of formation: -0.028 eV/atom

Cell lengths 7.5658, 7.5658, 3.9658 Å; angles 90.00, 90.00, 123.55 degrees
Atoms (fractional coordinates):
Al 0.1913 0.8087 0.0000
Al 0.8087 0.1913 0.0000
Pd 0.5000 0.5000 0.5000
Pt 0.0000 0.0000 0.0000
Pt 0.2010 0.4163 0.0000
Pt 0.3008 0.6992 0.5000
Pt 0.4163 0.2010 0.0000
Pt 0.5837 0.7990 0.0000
Pt 0.6992 0.3008 0.5000
Pt 0.7990 0.5837 0.0000


Density functional theory data (GGA-PBE) for an optimized crystal structure of TlPPb.

- Crystal system: cubic
- Total DFT energy (no corrections): -3.67 eV per atom
- Magnetization: 0.00 μB/cell
- E above lowest polymorph: 31 kJ/mol of formula units
- Space-group type: F-43m
- Energy of formation: 0.159 eV/atom

Cell lengths 7.1105, 7.1105, 7.1105 Å; angles 90.00, 90.00, 90.00 degrees
Atoms (fractional coordinates):
Tl 0.0000 0.0000 0.0000
Tl 0.0000 0.5000 0.5000
Tl 0.5000 0.0000 0.5000
Tl 0.5000 0.5000 0.0000
P 0.2500 0.2500 0.2500
P 0.2500 0.7500 0.7500
P 0.7500 0.2500 0.7500
P 0.7500 0.7500 0.2500
Pb 0.0000 0.0000 0.5000
Pb 0.0000 0.5000 0.0000
Pb 0.5000 0.0000 0.0000
Pb 0.5000 0.5000 0.5000


Density functional theory data (GGA-PBE) for an optimized crystal structure of SrHf2ZrV.

- Crystal system: tetragonal
- Total DFT energy (no corrections): -6.81 eV per atom
- Magnetization: 0.71 μB/cell
- Space-group type: P4/mmm
- Energy of formation: 1.040 eV/atom

Cell lengths 4.9502, 4.9502, 5.3935 Å; angles 90.00, 90.00, 90.00 degrees
Atoms (fractional coordinates):
Sr 0.0000 0.0000 0.0000
Hf 0.0000 0.5000 0.5000
Hf 0.5000 0.0000 0.5000
Zr 0.5000 0.5000 0.0000
V 0.0000 0.0000 0.5000


Density functional theory data (GGA-PBE) for an optimized crystal structure of BeCdIn.

- Crystal system: tetragonal
- Total DFT energy (no corrections): -2.06 eV per atom
- Magnetization: 0.00 μB/cell
- E above lowest polymorph: 40 kJ/mol of formula units
- Space-group type: I4mm
- Energy of formation: 0.399 eV/atom

Cell lengths 3.1465, 3.1465, 11.6491 Å; angles 90.00, 90.00, 90.00 degrees
Atoms (fractional coordinates):
Be 0.0000 0.0000 0.0000
Be 0.5000 0.5000 0.5000
Cd 0.0000 0.0000 0.6354
Cd 0.5000 0.5000 0.1354
In 0.0000 0.0000 0.3543
In 0.5000 0.5000 0.8543


Density functional theory data (GGA-PBE) for an optimized crystal structure of La2ReAu.

- Crystal system: tetragonal
- Total DFT energy (no corrections): -5.93 eV per atom
- Magnetization: 0.00 μB/cell
- E above lowest polymorph: 245 kJ/mol of formula units
- Space-group type: I-42d
- Energy of formation: 0.466 eV/atom

Cell lengths 6.5843, 6.5843, 13.3417 Å; angles 90.00, 90.00, 90.00 degrees
Atoms (fractional coordinates):
La 0.1831 0.2500 0.1250
La 0.2500 0.6831 0.3750
La 0.2500 0.8169 0.8750
La 0.3169 0.2500 0.6250
La 0.6831 0.7500 0.6250
La 0.7500 0.1831 0.8750
La 0.7500 0.3169 0.3750
La 0.8169 0.7500 0.1250
Re 0.0000 0.0000 0.0000
Re 0.0000 0.5000 0.2500
Re 0.5000 0.0000 0.7500
Re 0.5000 0.5000 0.5000
Au 0.0000 0.0000 0.5000
Au 0.0000 0.5000 0.7500
Au 0.5000 0.0000 0.2500
Au 0.5000 0.5000 0.0000


Density functional theory data (GGA-PBE) for an optimized crystal structure of VGaOs3.

- Crystal system: cubic
- Total DFT energy (no corrections): -7.51 eV per atom
- Magnetization: 0.00 μB/cell
- E above lowest polymorph: 0 kJ/mol of formula units
- Space-group type: Pm-3m
- Energy of formation: 1.653 eV/atom

Cell lengths 4.4868, 4.4868, 4.4868 Å; angles 90.00, 90.00, 90.00 degrees
Atoms (fractional coordinates):
V 0.0000 0.0000 0.0000
Ga 0.5000 0.5000 0.5000
Os 0.0000 0.0000 0.5000
Os 0.0000 0.5000 0.0000
Os 0.5000 0.0000 0.0000


Density functional theory data (GGA-PBE) for an optimized crystal structure of TiPd2SeS.

- Crystal system: tetragonal
- Total DFT energy (no corrections): -4.88 eV per atom
- Magnetization: 0.00 μB/cell
- Space-group type: P4/mmm

Cell lengths 4.8846, 4.8846, 4.3946 Å; angles 90.00, 90.00, 90.00 degrees
Atoms (fractional coordinates):
Ti 0.0000 0.0000 0.0000
Pd 0.0000 0.5000 0.0000
Pd 0.5000 0.0000 0.0000
Se 0.5000 0.5000 0.5000
S 0.0000 0.0000 0.5000